DFT (PBE with a Hubbard U) results for an optimized crystal structure of Na5WNO4.

The structure belongs to space group Cmc2_1 (No. 36); the cell edges are 10.005, 5.842 and 10.749 Å and the angles 90.00°, 90.00° and 90.00°. The asymmetric unit holds Na at (0.000, 0.089, 0.000), Na at (0.184, 0.155, 0.231), Na at (0.193, 0.481, 0.481), W at (0.000, 0.292, 0.716), N at (0.000, 0.404, 0.184), O at (0.136, 0.227, 0.846) and O at (0.137, 0.168, 0.601).

The crystal system is orthorhombic. The calculation puts the electronic total energy at -5.291 eV per atom.